# 1
A geometry-optimized Na2NbH structure. Source: the Alexandria database, functional PBE.

```
data_Na2NbH
_space_group_name_H-M_alt 'F m -3 m'
_space_group_IT_number 225
_space_group_name_Hall '-F 4 2 3'
_cell_length_a 7.323
_cell_length_b 7.323
_cell_length_c 7.323
_cell_angle_alpha 90.00
_cell_angle_beta 90.00
_cell_angle_gamma 90.00
loop_
_atom_site_label
_atom_site_fract_x
_atom_site_fract_y
_atom_site_fract_z
_atom_site_occupancy
Na1 0.250 0.250 0.250 1
Nb1 0.000 0.000 0.000 1
H1 0.000 0.000 0.500 1
```

The value obtained for the energy above the most stable polymorph in this dataset is 403 meV per atom.

***

# 2
A geometry-optimized Cs2CaIrBr6 structure. Source: the Alexandria database, functional PBE.

```
data_Cs2CaIrBr6
_space_group_name_H-M_alt 'I 4/m m m'
_space_group_IT_number 139
_space_group_name_Hall '-I 4 2'
_cell_length_a 7.850
_cell_length_b 7.850
_cell_length_c 10.932
_cell_angle_alpha 90.00
_cell_angle_beta 90.00
_cell_angle_gamma 90.00
loop_
_atom_site_label
_atom_site_fract_x
_atom_site_fract_y
_atom_site_fract_z
_atom_site_occupancy
Cs1 0.000 0.500 0.250 1
Ca1 0.000 0.000 0.000 1
Ir1 0.000 0.000 0.500 1
Br1 0.000 0.000 0.268 1
Br2 0.239 0.239 0.500 1
```

The calculation puts the uncorrected formation energy at -12.0 eV/f.u.

***

# 3
A geometry-optimized NaB2Pt structure. Source: the Alexandria database, functional PBE.

```
data_NaB2Pt
_space_group_name_H-M_alt 'I 41/a m d'
_space_group_IT_number 141
_cell_length_a 4.438
_cell_length_b 4.438
_cell_length_c 13.401
_cell_angle_alpha 90.00
_cell_angle_beta 90.00
_cell_angle_gamma 90.00
loop_
_space_group_symop_operation_xyz
'x,y,z'
'-x,-y,-z'
'-y+1/4,x+3/4,z+1/4'
'y+1/4,-x+3/4,-z+1/4'
'-x+1/2,-y,z+1/2'
'x+1/2,y,-z+1/2'
'y+1/4,-x+1/4,z+3/4'
'-y+1/4,x+1/4,-z+3/4'
'x,-y,-z'
'-x,y,z'
'-y+1/4,-x+1/4,-z+3/4'
'y+1/4,x+1/4,z+3/4'
'-x+1/2,y,-z+1/2'
'x+1/2,-y,z+1/2'
'y+1/4,x+3/4,-z+1/4'
'-y+1/4,-x+3/4,z+1/4'
'x+1/2,y+1/2,z+1/2'
'-x+1/2,-y+1/2,-z+1/2'
'-y+3/4,x+1/4,z+3/4'
'y+3/4,-x+1/4,-z+3/4'
'-x,-y+1/2,z'
'x,y+1/2,-z'
'y+3/4,-x+3/4,z+1/4'
'-y+3/4,x+3/4,-z+1/4'
'x+1/2,-y+1/2,-z+1/2'
'-x+1/2,y+1/2,z+1/2'
'-y+3/4,-x+3/4,-z+1/4'
'y+3/4,x+3/4,z+1/4'
'-x,y+1/2,-z'
'x,-y+1/2,z'
'y+3/4,x+1/4,-z+3/4'
'-y+3/4,-x+1/4,z+3/4'
loop_
_atom_site_label
_atom_site_fract_x
_atom_site_fract_y
_atom_site_fract_z
_atom_site_occupancy
Na1 0.000 0.250 0.375 1
B1 0.000 0.000 0.000 1
Pt1 0.000 0.250 0.875 1
```

The value obtained for the energy above the most stable polymorph in this dataset is 0 meV per atom. The calculation puts the formation energy at 0.233 eV per atom.

***

# 4
A geometry-optimized Ac2Th3Se8 structure. Source: the Alexandria database, functional PBE.

```
data_Ac2Th3Se8
_space_group_name_H-M_alt 'C 1 2/m 1'
_space_group_IT_number 12
_cell_length_a 15.427
_cell_length_b 8.673
_cell_length_c 7.094
_cell_angle_alpha 90.00
_cell_angle_beta 108.13
_cell_angle_gamma 90.00
loop_
_space_group_symop_operation_xyz
'x,y,z'
'-x,-y,-z'
'-x,y,-z'
'x,-y,z'
'x+1/2,y+1/2,z'
'-x+1/2,-y+1/2,-z'
'-x+1/2,y+1/2,-z'
'x+1/2,-y+1/2,z'
loop_
_atom_site_label
_atom_site_fract_x
_atom_site_fract_y
_atom_site_fract_z
_atom_site_occupancy
Ac1 0.237 0.000 0.163 1
Th1 0.000 0.248 0.500 1
Th2 0.000 0.500 0.000 1
Se1 0.111 0.000 0.427 1
Se2 0.116 0.500 0.420 1
Se3 0.121 0.268 0.915 1
```

The calculation puts the uncorrected formation energy at -22.5 eV/f.u. The value obtained for the energy above the most stable polymorph in this dataset is 57 meV per atom.

***

# 5
A geometry-optimized Tb5Cu2Sb structure. Source: the Alexandria database, functional PBE.

```
data_Tb5Cu2Sb
_space_group_name_H-M_alt 'I 4/m c m'
_space_group_IT_number 140
_space_group_name_Hall '-I 4 2c'
_cell_length_a 7.947
_cell_length_b 7.947
_cell_length_c 12.926
_cell_angle_alpha 90.00
_cell_angle_beta 90.00
_cell_angle_gamma 90.00
loop_
_atom_site_label
_atom_site_fract_x
_atom_site_fract_y
_atom_site_fract_z
_atom_site_occupancy
Tb1 0.000 0.000 0.000 1
Tb2 0.155 0.345 0.142 1
Cu1 0.131 0.369 0.500 1
Sb1 0.000 0.000 0.250 1
```

The calculation puts the uncorrected formation energy at -3.4 eV/f.u.

***

# 6
A geometry-optimized Ho4IrAu2 structure. Source: the Alexandria database, functional PBE.

```
data_Ho4IrAu2
_space_group_name_H-M_alt 'R -3 m'
_space_group_IT_number 166
_space_group_name_Hall '-R 3 2"'
_cell_length_a 4.9595
_cell_length_b 4.9595
_cell_length_c 24.4045
_cell_angle_alpha 90.00
_cell_angle_beta 90.00
_cell_angle_gamma 120.00
loop_
_atom_site_label
_atom_site_fract_x
_atom_site_fract_y
_atom_site_fract_z
_atom_site_occupancy
Ho1 0.0000 0.0000 0.1210 1
Ho2 0.0000 0.0000 0.3714 1
Ir1 0.0000 0.0000 0.0000 1
Au1 0.0000 0.0000 0.2432 1
```

The calculation puts the formation energy at -0.724 eV per atom.

***

# 7
A geometry-optimized Ce2NdTmPb4 structure. Source: the Alexandria database, functional PBE.

```
data_Ce2NdTmPb4
_space_group_name_H-M_alt 'R -3 m'
_space_group_IT_number 166
_space_group_name_Hall '-R 3 2"'
_cell_length_a 5.2055
_cell_length_b 5.2055
_cell_length_c 31.5627
_cell_angle_alpha 90.00
_cell_angle_beta 90.00
_cell_angle_gamma 120.00
loop_
_atom_site_label
_atom_site_fract_x
_atom_site_fract_y
_atom_site_fract_z
_atom_site_occupancy
Ce1 0.0000 0.0000 0.2467 1
Nd1 0.0000 0.0000 0.0000 1
Tm1 0.0000 0.0000 0.5000 1
Pb1 0.0000 0.0000 0.1277 1
Pb2 0.0000 0.0000 0.3765 1
```

The calculation puts the formation energy at -0.383 eV per atom.

***

# 8
A geometry-optimized Be3SO structure. Source: the Alexandria database, functional PBE.

```
data_Be3SO
_space_group_name_H-M_alt 'P m -3 m'
_space_group_IT_number 221
_space_group_name_Hall '-P 4 2 3'
_cell_length_a 3.638
_cell_length_b 3.638
_cell_length_c 3.638
_cell_angle_alpha 90.00
_cell_angle_beta 90.00
_cell_angle_gamma 90.00
loop_
_atom_site_label
_atom_site_fract_x
_atom_site_fract_y
_atom_site_fract_z
_atom_site_occupancy
Be1 0.000 0.000 0.500 1
S1 0.500 0.500 0.500 1
O1 0.000 0.000 0.000 1
```

The calculation puts the uncorrected formation energy at -0.7 eV/f.u. The value obtained for the energy above the most stable polymorph in this dataset is 0 meV per atom.

***

# 9
A geometry-optimized Cu5Se2S structure. Source: the Alexandria database, functional PBE.

```
data_Cu5Se2S
_space_group_name_H-M_alt 'C m c m'
_space_group_IT_number 63
_space_group_name_Hall '-C 2c 2'
_cell_length_a 4.016
_cell_length_b 12.766
_cell_length_c 11.953
_cell_angle_alpha 90.00
_cell_angle_beta 90.00
_cell_angle_gamma 90.00
loop_
_atom_site_label
_atom_site_fract_x
_atom_site_fract_y
_atom_site_fract_z
_atom_site_occupancy
Cu1 0.000 0.051 0.089 1
Cu2 0.000 0.257 0.073 1
Cu3 0.000 0.280 0.750 1
Se1 0.000 0.137 0.594 1
S1 0.000 0.139 0.250 1
```

The calculation puts the uncorrected formation energy at -0.7 eV/f.u. The value obtained for the energy above the most stable polymorph in this dataset is 10 meV per atom.

***

V (Å³/atom)
24.54 33.68 16.49 34.69 25.51 24.75 30.86 9.63 19.15